First-principles (PBE) data for a geometry-optimized AgSe2 structure, as listed in Alexandria.

## Properties
- Formation energy without anion corrections: -0.011 eV per atom
- DOS at the Fermi energy: 0.340 states/eV/f.u.
- E: -19.70 eV per cell

Cell: 7.344 7.344 5.801 Å, 108.56 108.56 31.17°
Fractional positions:
1 Ag 0.033 0.033 0.274
2 Ag 0.967 0.967 0.726
3 Se 0.345 0.345 0.766
4 Se 0.396 0.396 0.194
5 Se 0.604 0.604 0.806
6 Se 0.655 0.655 0.234

***

First-principles (PBE) data for a geometry-optimized AgSe2 structure, as listed in Alexandria.

## Properties
- Formation energy without anion corrections: 0.325 eV per atom
- DOS at the Fermi energy: 2.796 states/eV/f.u.
- E: -8.85 eV per cell

Cell: 3.024 3.024 8.439 Å, 90.00 90.00 120.00°
Fractional positions:
1 Ag 0.000 0.000 0.000
2 Se 0.333 0.667 0.724
3 Se 0.667 0.333 0.276

***

Q: The lowest DOS at the Fermi energy belongs to which entry?
A: number 1

***

Q: Which of these has the lowest E?
A: number 1

***

Q: Number 1 is which compound?
A: AgSe2

***

Q: Among the records above, which one has the highest formation energy without anion corrections?
A: number 2